The following is a DFT calculation (meta-GGA SCAN) of a crystal of Rb2CaCdRe relaxed with PBEsol.

```
data_Rb2CaCdRe
_chemical_formula_sum 'Rb2 Ca1 Cd1 Re1'
_cell_length_a 6.350
_cell_length_b 6.350
_cell_length_c 5.320
_cell_angle_alpha 90.00
_cell_angle_beta 90.00
_cell_angle_gamma 90.00
_symmetry_space_group_name_H-M 'P 4/m m m'
_symmetry_Int_Tables_number 123
_symmetry_space_group_name_Hall '-P 4 2'
loop_
_atom_site_label
_atom_site_fract_x
_atom_site_fract_y
_atom_site_fract_z
Rb1 0.000 0.500 0.000
Ca1 0.000 0.000 0.500
Cd1 0.500 0.500 0.500
Re1 0.500 0.500 0.000
```

Values from the calculation:
E_form	1.310	eV per atom
M_tot	0.5450	μB per atom
E	-146.1	eV for the cell shown

=====

The following is a DFT calculation (meta-GGA SCAN) of a crystal of CaCdRh2 relaxed with PBEsol.

```
data_CaCdRh2
_chemical_formula_sum 'Ca3 Cd3 Rh6'
_cell_length_a 3.0120
_cell_length_b 3.0120
_cell_length_c 26.2727
_cell_angle_alpha 90.00
_cell_angle_beta 90.00
_cell_angle_gamma 120.00
_symmetry_space_group_name_H-M 'R -3 m'
_symmetry_Int_Tables_number 166
_symmetry_space_group_name_Hall '-R 3 2"'
loop_
_atom_site_label
_atom_site_fract_x
_atom_site_fract_y
_atom_site_fract_z
Ca1 0.0000 0.0000 0.0000
Cd1 0.0000 0.0000 0.5000
Rh1 0.0000 0.0000 0.2484
```

Values from the calculation:
E_form	0.063	eV per atom
M_tot	0.0000	μB per atom
E	-322.1	eV for the cell shown

=====

The following is a DFT calculation (meta-GGA SCAN) of a crystal of CaCdRh relaxed with PBEsol.

```
data_CaCdRh
_chemical_formula_sum 'Ca4 Cd4 Rh4'
_cell_length_a 5.686
_cell_length_b 5.734
_cell_length_c 7.366
_cell_angle_alpha 90.00
_cell_angle_beta 90.00
_cell_angle_gamma 90.00
_symmetry_space_group_name_H-M 'I m m a'
_symmetry_Int_Tables_number 74
_symmetry_space_group_name_Hall '-I 2b 2'
loop_
_atom_site_label
_atom_site_fract_x
_atom_site_fract_y
_atom_site_fract_z
Ca1 0.000 0.250 0.145
Cd1 0.250 0.250 0.750
Rh1 0.000 0.000 0.500
```

Values from the calculation:
E_form	-0.421	eV per atom
M_tot	0.0000	μB per atom
E	-300.4	eV for the cell shown

=====

The following is a DFT calculation (meta-GGA SCAN) of a crystal of CaCdRh relaxed with PBEsol.

```
data_CaCdRh
_chemical_formula_sum 'Ca2 Cd2 Rh2'
_cell_length_a 3.354
_cell_length_b 3.354
_cell_length_c 10.779
_cell_angle_alpha 90.00
_cell_angle_beta 90.00
_cell_angle_gamma 90.00
_symmetry_space_group_name_H-M 'I 4 m m'
_symmetry_Int_Tables_number 107
_symmetry_space_group_name_Hall 'I 4 -2'
loop_
_atom_site_label
_atom_site_fract_x
_atom_site_fract_y
_atom_site_fract_z
Ca1 0.000 0.000 0.000
Cd1 0.000 0.000 0.290
Rh1 0.000 0.000 0.660
```

Values from the calculation:
E_form	-0.293	eV per atom
M_tot	0.0000	μB per atom
E	-149.5	eV for the cell shown

=====

The following is a DFT calculation (meta-GGA SCAN) of a crystal of CaCdRh2 relaxed with PBEsol.

```
data_CaCdRh2
_chemical_formula_sum 'Ca2 Cd2 Rh4'
_cell_length_a 3.039
_cell_length_b 4.621
_cell_length_c 9.998
_cell_angle_alpha 90.00
_cell_angle_beta 90.00
_cell_angle_gamma 90.00
_symmetry_space_group_name_H-M 'I m m 2'
_symmetry_Int_Tables_number 44
_symmetry_space_group_name_Hall 'I 2 -2'
loop_
_atom_site_label
_atom_site_fract_x
_atom_site_fract_y
_atom_site_fract_z
Ca1 0.000 0.000 0.000
Cd1 0.000 0.500 0.783
Rh1 0.000 0.000 0.523
Rh2 0.000 0.500 0.234
```

Values from the calculation:
E_form	-0.177	eV per atom
M_tot	0.0000	μB per atom
E	-216.7	eV for the cell shown

=====

The following is a DFT calculation (meta-GGA SCAN) of a crystal of CaCdRh2 relaxed with PBEsol.

```
data_CaCdRh2
_chemical_formula_sum 'Ca2 Cd2 Rh4'
_cell_length_a 9.113
_cell_length_b 2.981
_cell_length_c 5.305
_cell_angle_alpha 90.00
_cell_angle_beta 100.91
_cell_angle_gamma 90.00
_symmetry_space_group_name_H-M 'C 1 2/m 1'
_symmetry_Int_Tables_number 12
_symmetry_space_group_name_Hall '-C 2y'
loop_
_atom_site_label
_atom_site_fract_x
_atom_site_fract_y
_atom_site_fract_z
Ca1 0.000 0.000 0.000
Cd1 0.000 0.500 0.500
Rh1 0.246 0.000 0.708
```

Values from the calculation:
E_form	-0.082	eV per atom
M_tot	0.0000	μB per atom
E	-215.9	eV for the cell shown

=====

The following is a DFT calculation (meta-GGA SCAN) of a crystal of CaCd2Ru relaxed with PBEsol.

```
data_CaCd2Ru
_chemical_formula_sum 'Ca4 Cd8 Ru4'
_cell_length_a 6.763
_cell_length_b 6.763
_cell_length_c 6.763
_cell_angle_alpha 90.00
_cell_angle_beta 90.00
_cell_angle_gamma 90.00
_symmetry_space_group_name_H-M 'F -4 3 m'
_symmetry_Int_Tables_number 216
_symmetry_space_group_name_Hall 'F -4 2 3'
loop_
_atom_site_label
_atom_site_fract_x
_atom_site_fract_y
_atom_site_fract_z
Ca1 0.000 0.000 0.000
Cd1 0.000 0.000 0.500
Cd2 0.250 0.250 0.750
Ru1 0.250 0.250 0.250
```

Values from the calculation:
E_form	0.182	eV per atom
M_tot	0.0000	μB per atom
E	-418.4	eV for the cell shown

=====

The following is a DFT calculation (meta-GGA SCAN) of a crystal of Ca2CdRu relaxed with PBEsol.

```
data_Ca2CdRu
_chemical_formula_sum 'Ca6 Cd3 Ru3'
_cell_length_a 3.3406
_cell_length_b 3.3406
_cell_length_c 28.8693
_cell_angle_alpha 90.00
_cell_angle_beta 90.00
_cell_angle_gamma 120.00
_symmetry_space_group_name_H-M 'R -3 m'
_symmetry_Int_Tables_number 166
_symmetry_space_group_name_Hall '-R 3 2"'
loop_
_atom_site_label
_atom_site_fract_x
_atom_site_fract_y
_atom_site_fract_z
Ca1 0.0000 0.0000 0.2366
Cd1 0.0000 0.0000 0.0000
Ru1 0.0000 0.0000 0.5000
```

Values from the calculation:
E_form	0.240	eV per atom
M_tot	0.0000	μB per atom
E	-250.8	eV for the cell shown

=====

The following is a DFT calculation (meta-GGA SCAN) of a crystal of Ca2CdRu relaxed with PBEsol.

```
data_Ca2CdRu
_chemical_formula_sum 'Ca2 Cd1 Ru1'
_cell_length_a 3.547
_cell_length_b 3.547
_cell_length_c 7.856
_cell_angle_alpha 90.00
_cell_angle_beta 90.00
_cell_angle_gamma 90.00
_symmetry_space_group_name_H-M 'P 4 m m'
_symmetry_Int_Tables_number 99
_symmetry_space_group_name_Hall 'P 4 -2'
loop_
_atom_site_label
_atom_site_fract_x
_atom_site_fract_y
_atom_site_fract_z
Ca1 0.000 0.000 0.000
Ca2 0.500 0.500 0.395
Cd1 0.000 0.000 0.630
Ru1 0.500 0.500 0.775
```

Values from the calculation:
E_form	0.122	eV per atom
M_tot	0.0000	μB per atom
E	-84.1	eV for the cell shown

=====

The following is a DFT calculation (meta-GGA SCAN) of a crystal of CaCd4Sb relaxed with PBEsol.

```
data_CaCd4Sb
_chemical_formula_sum 'Ca4 Cd16 Sb4'
_cell_length_a 8.297
_cell_length_b 8.297
_cell_length_c 8.297
_cell_angle_alpha 90.00
_cell_angle_beta 90.00
_cell_angle_gamma 90.00
_symmetry_space_group_name_H-M 'F -4 3 m'
_symmetry_Int_Tables_number 216
_symmetry_space_group_name_Hall 'F -4 2 3'
loop_
_atom_site_label
_atom_site_fract_x
_atom_site_fract_y
_atom_site_fract_z
Ca1 0.000 0.000 0.000
Cd1 0.125 0.125 0.625
Sb1 0.250 0.250 0.250
```

Values from the calculation:
uncorrected formation energy	-0.1430	eV per atom
M_tot	0.0000	μB per atom
E	-677.8	eV for the cell shown

=====

The following is a DFT calculation (meta-GGA SCAN) of a crystal of CaCd2Sb2 relaxed with PBEsol.

```
data_CaCd2Sb2
_chemical_formula_sum 'Ca1 Cd2 Sb2'
_cell_length_a 4.6333
_cell_length_b 4.6333
_cell_length_c 7.4814
_cell_angle_alpha 90.00
_cell_angle_beta 90.00
_cell_angle_gamma 120.00
_symmetry_space_group_name_H-M 'P -3 m 1'
_symmetry_Int_Tables_number 164
_symmetry_space_group_name_Hall '-P 3 2"'
loop_
_atom_site_label
_atom_site_fract_x
_atom_site_fract_y
_atom_site_fract_z
Ca1 0.0000 0.0000 0.0000
Cd1 0.3333 0.6667 0.6300
Sb1 0.3333 0.6667 0.2345
```

Values from the calculation:
uncorrected formation energy	-0.5298	eV per atom
M_tot	0.0000	μB per atom
E	-147.7	eV for the cell shown

=====

The following is a DFT calculation (meta-GGA SCAN) of a crystal of CaCd2Sb relaxed with PBEsol.

```
data_CaCd2Sb
_chemical_formula_sum 'Ca4 Cd8 Sb4'
_cell_length_a 7.386
_cell_length_b 7.386
_cell_length_c 7.386
_cell_angle_alpha 90.00
_cell_angle_beta 90.00
_cell_angle_gamma 90.00
_symmetry_space_group_name_H-M 'F -4 3 m'
_symmetry_Int_Tables_number 216
_symmetry_space_group_name_Hall 'F -4 2 3'
loop_
_atom_site_label
_atom_site_fract_x
_atom_site_fract_y
_atom_site_fract_z
Ca1 0.000 0.000 0.000
Cd1 0.000 0.000 0.500
Cd2 0.250 0.250 0.250
Sb1 0.250 0.250 0.750
```

Values from the calculation:
uncorrected formation energy	-0.2864	eV per atom
M_tot	0.0000	μB per atom
E	-435.6	eV for the cell shown

=====

The following is a DFT calculation (meta-GGA SCAN) of a crystal of Ca2CdSb2 relaxed with PBEsol.

```
data_Ca2CdSb2
_chemical_formula_sum 'Ca4 Cd2 Sb4'
_cell_length_a 4.276
_cell_length_b 4.276
_cell_length_c 16.678
_cell_angle_alpha 90.00
_cell_angle_beta 90.00
_cell_angle_gamma 90.00
_symmetry_space_group_name_H-M 'I 4/m m m'
_symmetry_Int_Tables_number 139
_symmetry_space_group_name_Hall '-I 4 2'
loop_
_atom_site_label
_atom_site_fract_x
_atom_site_fract_y
_atom_site_fract_z
Ca1 0.000 0.000 0.106
Cd1 0.000 0.000 0.500
Sb1 0.000 0.500 0.250
```

Values from the calculation:
uncorrected formation energy	-0.4428	eV per atom
M_tot	0.0000	μB per atom
E	-253.0	eV for the cell shown

=====

The following is a DFT calculation (meta-GGA SCAN) of a crystal of CaCdSb2 relaxed with PBEsol.

```
data_CaCdSb2
_chemical_formula_sum 'Ca2 Cd2 Sb4'
_cell_length_a 4.414
_cell_length_b 4.414
_cell_length_c 10.382
_cell_angle_alpha 90.00
_cell_angle_beta 90.00
_cell_angle_gamma 90.00
_symmetry_space_group_name_H-M 'I -4 m 2'
_symmetry_Int_Tables_number 119
_symmetry_space_group_name_Hall 'I -4 -2'
loop_
_atom_site_label
_atom_site_fract_x
_atom_site_fract_y
_atom_site_fract_z
Ca1 0.000 0.000 0.000
Cd1 0.000 0.500 0.250
Sb1 0.000 0.000 0.500
Sb2 0.000 0.500 0.750
```

Values from the calculation:
uncorrected formation energy	-0.3794	eV per atom
M_tot	0.0000	μB per atom
E	-232.2	eV for the cell shown

=====

The following is a DFT calculation (meta-GGA SCAN) of a crystal of CaCd3Sb relaxed with PBEsol.

```
data_CaCd3Sb
_chemical_formula_sum 'Ca1 Cd3 Sb1'
_cell_length_a 5.508
_cell_length_b 5.508
_cell_length_c 5.508
_cell_angle_alpha 90.00
_cell_angle_beta 90.00
_cell_angle_gamma 90.00
_symmetry_space_group_name_H-M 'P m -3 m'
_symmetry_Int_Tables_number 221
_symmetry_space_group_name_Hall '-P 4 2 3'
loop_
_atom_site_label
_atom_site_fract_x
_atom_site_fract_y
_atom_site_fract_z
Ca1 0.000 0.000 0.000
Cd1 0.000 0.500 0.500
Sb1 0.500 0.500 0.500
```

Values from the calculation:
uncorrected formation energy	0.2606	eV per atom
M_tot	0.0000	μB per atom
E	-136.9	eV for the cell shown

=====

The following is a DFT calculation (meta-GGA SCAN) of a crystal of CaCdSb2 relaxed with PBEsol.

```
data_CaCdSb2
_chemical_formula_sum 'Ca1 Cd1 Sb2'
_cell_length_a 4.098
_cell_length_b 4.098
_cell_length_c 6.230
_cell_angle_alpha 90.00
_cell_angle_beta 90.00
_cell_angle_gamma 90.00
_symmetry_space_group_name_H-M 'P 4 m m'
_symmetry_Int_Tables_number 99
_symmetry_space_group_name_Hall 'P 4 -2'
loop_
_atom_site_label
_atom_site_fract_x
_atom_site_fract_y
_atom_site_fract_z
Ca1 0.000 0.000 0.000
Cd1 0.500 0.500 0.305
Sb1 0.000 0.000 0.499
Sb2 0.500 0.500 0.804
```

Values from the calculation:
uncorrected formation energy	-0.3025	eV per atom
M_tot	0.0000	μB per atom
E	-115.8	eV for the cell shown

=====

The following is a DFT calculation (meta-GGA SCAN) of a crystal of Ca2CdSb relaxed with PBEsol.

```
data_Ca2CdSb
_chemical_formula_sum 'Ca4 Cd2 Sb2'
_cell_length_a 4.494
_cell_length_b 4.422
_cell_length_c 11.581
_cell_angle_alpha 90.00
_cell_angle_beta 90.00
_cell_angle_gamma 90.00
_symmetry_space_group_name_H-M 'A m m 2'
_symmetry_Int_Tables_number 38
_symmetry_space_group_name_Hall 'A 2 -2'
loop_
_atom_site_label
_atom_site_fract_x
_atom_site_fract_y
_atom_site_fract_z
Ca1 0.000 0.000 0.000
Ca2 0.500 0.000 0.277
Cd1 0.000 0.000 0.725
Sb1 0.500 0.000 0.556
```

Values from the calculation:
energy above the lowest structure with this stoichiometry	0.000	eV per atom
uncorrected formation energy	-0.7856	eV per atom
M_tot	0.0000	μB per atom
E	-180.3	eV for the cell shown

=====

The following is a DFT calculation (meta-GGA SCAN) of a crystal of Ca2CdSb relaxed with PBEsol.

```
data_Ca2CdSb
_chemical_formula_sum 'Ca2 Cd1 Sb1'
_cell_length_a 5.049
_cell_length_b 5.049
_cell_length_c 4.221
_cell_angle_alpha 90.00
_cell_angle_beta 90.00
_cell_angle_gamma 90.00
_symmetry_space_group_name_H-M 'P 4/m m m'
_symmetry_Int_Tables_number 123
_symmetry_space_group_name_Hall '-P 4 2'
loop_
_atom_site_label
_atom_site_fract_x
_atom_site_fract_y
_atom_site_fract_z
Ca1 0.000 0.500 0.000
Cd1 0.000 0.000 0.500
Sb1 0.500 0.500 0.500
```

Values from the calculation:
energy above the lowest structure with this stoichiometry	0.045	eV per atom
uncorrected formation energy	-0.7405	eV per atom
M_tot	0.0018	μB per atom
E	-90.0	eV for the cell shown

=====

The following is a DFT calculation (meta-GGA SCAN) of a crystal of CaCd2Sb relaxed with PBEsol.

```
data_CaCd2Sb
_chemical_formula_sum 'Ca1 Cd2 Sb1'
_cell_length_a 3.527
_cell_length_b 4.243
_cell_length_c 6.654
_cell_angle_alpha 90.00
_cell_angle_beta 90.00
_cell_angle_gamma 90.00
_symmetry_space_group_name_H-M 'P m m 2'
_symmetry_Int_Tables_number 25
_symmetry_space_group_name_Hall 'P 2 -2'
loop_
_atom_site_label
_atom_site_fract_x
_atom_site_fract_y
_atom_site_fract_z
Ca1 0.000 0.000 0.000
Cd1 0.000 0.000 0.488
Cd2 0.500 0.500 0.296
Sb1 0.500 0.500 0.759
```

Values from the calculation:
uncorrected formation energy	-0.3154	eV per atom
M_tot	0.0000	μB per atom
E	-109.0	eV for the cell shown

=====

The following is a DFT calculation (meta-GGA SCAN) of a crystal of CaCd2Sb relaxed with PBEsol.

```
data_CaCd2Sb
_chemical_formula_sum 'Ca1 Cd2 Sb1'
_cell_length_a 4.399
_cell_length_b 4.399
_cell_length_c 4.975
_cell_angle_alpha 90.00
_cell_angle_beta 90.00
_cell_angle_gamma 90.00
_symmetry_space_group_name_H-M 'P 4/m m m'
_symmetry_Int_Tables_number 123
_symmetry_space_group_name_Hall '-P 4 2'
loop_
_atom_site_label
_atom_site_fract_x
_atom_site_fract_y
_atom_site_fract_z
Ca1 0.000 0.000 0.000
Cd1 0.000 0.500 0.500
Sb1 0.500 0.500 0.000
```

Values from the calculation:
uncorrected formation energy	-0.4358	eV per atom
M_tot	0.0000	μB per atom
E	-109.5	eV for the cell shown